DFT (PBE) results for a relaxed HfThPd crystal.

Results
Space-group type = F-43m (216)
Electronic total energy = -7.56 eV/atom
Volume = 78.5 Å³/cell
Energy above the most stable polymorph in this dataset = 0.000 eV/atom

Lattice parameters (Å, degrees): 4.8055 4.8055 4.8055 60.00 60.00 60.00
Closest atoms and distances in Å follow each position.
Fractional coordinates of all 3 atoms:
Hf: 0.5000 0.5000 0.5000  4 Pd 2.94
Pd: 0.2500 0.2500 0.2500  4 Th 2.94, 4 Hf 2.94
Th: 0.0000 0.0000 0.0000  4 Pd 2.94